Entry 1:
Density functional theory data (PBE) for PrSmAlGa after structural relaxation.

Properties
D(E_F) = 0.327 states/eV per atom
symmetry = F-43m (216)

a b c (Å): 5.239 5.239 5.239
angles (deg): 60.00 60.00 60.00
Positions (direct):
1 Sm 0.500 0.500 0.500
2 Al 0.750 0.750 0.750
3 Ga 0.250 0.250 0.250
4 Pr 0.000 0.000 0.000

Entry 2:
Density functional theory data (PBE) for AgAs2 after structural relaxation.

Properties
D(E_F) = 0.399 states/eV per atom
symmetry = P-3m1 (164)

a b c (Å): 2.969 2.969 7.644
angles (deg): 90.00 90.00 120.00
Positions (direct):
1 Ag 0.000 0.000 0.000
2 As 0.333 0.667 0.304
3 As 0.667 0.333 0.696

Entry 3:
Density functional theory data (PBE) for ZrZn3Co after structural relaxation.

Properties
D(E_F) = 0.769 states/eV per atom
symmetry = Pm-3m (221)

a b c (Å): 4.431 4.431 4.431
angles (deg): 90.00 90.00 90.00
Positions (direct):
1 Zr 0.500 0.500 0.500
2 Co 0.000 0.000 0.000
3 Zn 0.500 0.000 0.000
4 Zn 0.000 0.000 0.500
5 Zn 0.000 0.500 0.000

Looking at magnetization for the records above, in order, we have 0.00; 0.00; 0.00 μB per formula unit.
Looking at E_form for the records above, in order, we have -0.448; 0.318; 0.222 eV/atom.